Record 1
VASP calculation (GGA-PBE) on a geometry-optimized AlOsSe2 structure.

The structure in CIF format:
```
data_AlOsSe2
_symmetry_space_group_name_H-M 'I -4 m 2'
_symmetry_Int_Tables_number 119
_symmetry_space_group_name_Hall 'I -4 -2'
_cell_length_a 4.1741
_cell_length_b 4.1741
_cell_length_c 7.5953
_cell_angle_alpha 90.00
_cell_angle_beta 90.00
_cell_angle_gamma 90.00
loop_
_atom_site_label
_atom_site_type_symbol
_atom_site_fract_x
_atom_site_fract_y
_atom_site_fract_z
Al1 Al 0.0000 0.0000 0.0000
Os1 Os 0.0000 0.5000 0.7500
Se1 Se 0.0000 0.0000 0.5000
Se2 Se 0.0000 0.5000 0.2500
```

Properties
Total energy   -4.938 eV/atom
Magnetic moment   0.00 μB/atom
Fermi-level density of states   4.20 states/eV per cell

Record 2
VASP calculation (GGA-PBE) on a geometry-optimized AlOsSe2 structure.

The structure in CIF format:
```
data_AlOsSe2
_symmetry_space_group_name_H-M 'C m m 2'
_symmetry_Int_Tables_number 35
_symmetry_space_group_name_Hall 'C 2 -2'
_cell_length_a 2.9604
_cell_length_b 5.4368
_cell_length_c 9.7852
_cell_angle_alpha 90.00
_cell_angle_beta 90.00
_cell_angle_gamma 90.00
loop_
_atom_site_label
_atom_site_type_symbol
_atom_site_fract_x
_atom_site_fract_y
_atom_site_fract_z
Al1 Al 0.0000 0.0000 0.0000
Os1 Os 0.0000 0.5000 0.7908
Se1 Se 0.0000 0.0000 0.5883
Se2 Se 0.0000 0.5000 0.2091
```

Properties
Total energy   -5.223 eV/atom
Magnetic moment   0.00 μB/atom
Fermi-level density of states   4.97 states/eV per cell

Quick rundown of energy relative to the elements, uncorrected, same order as above: 547.3, 262.5 meV/atom